! Al2ReAs, optimized geometry, DFT PBE-GGA; values from VASP
! **Size of the total moment**: 0.0 μB per cell
! **ΔE to the lowest computed polymorph**: 113 meV per atom
! **DOS(E_F)**: 0.636 states/eV per atom
! **Symmetry**: Cmmm (65)
&SYSTEM
  ibrav = 0, nat = 4, ntyp = 3
/
ATOMIC_SPECIES
Al 26.98 Al.upf
Re 186.21 Re.upf
As 74.92 As.upf
CELL_PARAMETERS angstrom
2.900 -3.863 0.000
2.900 3.863 0.000
0.000 0.000 2.758
ATOMIC_POSITIONS crystal
Al 0.000 0.500 0.000
Al 0.500 0.000 0.000
Re 0.000 0.000 0.500
As 0.500 0.500 0.500